The following is a PBE calculation of an optimized crystal structure of K2Pd3PtSe6, from OQMD.

Output
Density: 5.6 g/cm3
M_tot: 0.00 μB/f.u.
Final energy: -157.1 eV for the cell shown
V: 26.46 Å³/atom

Cell: 7.4723 7.4723 19.7013 Å, 90.00 90.00 120.00°
Space group R-3m (No. 166, hexagonal axes)
One atom of each set of equivalent atoms:
K 0.0000 0.0000 0.1987
Pd 0.0000 0.5000 0.0000
Pt 0.0000 0.0000 0.0000
Se 0.0079 0.5039 0.2692